1.
A plane-wave DFT calculation with SCAN was carried out for BaWBr at its PBEsol-relaxed geometry.

The structure in POSCAR format:
```
BaWBr
1.0
-1.1619 -3.5543 -3.9096
2.4544 -4.8204 -0.0902
-2.7976 -4.4821 1.1631
Br Ba W
1 1 1
Cartesian
-0.7525 -6.4284 -1.4184
0.0000 0.0000 0.0000
-0.3763 -3.2142 -0.7092
```

Results
Total magnetic moment: 5.0 Bohr magnetons per cell
ΔE_f (raw): 1288 meV per atom
ΔE to the lowest computed polymorph: 7.97 kcal/mol of atoms

***

2.
A plane-wave DFT calculation with SCAN was carried out for BaW2Br at its PBEsol-relaxed geometry.

The structure in POSCAR format:
```
BaW2Br
1.0
-1.5865 1.7456 -2.4124
-1.6213 -1.6811 -2.5096
-8.7563 0.6466 3.8668
Br Ba W
1 1 2
Cartesian
-9.3136 0.2674 -0.7599
-6.0382 0.2801 -0.5453
-1.7328 -1.4129 -2.2422
-2.4828 0.2511 -0.5449
```

Results
Total magnetic moment: 0.0 Bohr magnetons per cell
ΔE_f (raw): 537 meV per atom
ΔE to the lowest computed polymorph: 0.00 kcal/mol of atoms

***

3.
A plane-wave DFT calculation with SCAN was carried out for BaWBr at its PBEsol-relaxed geometry.

The structure in POSCAR format:
```
BaWBr
1.0
-2.6938 -1.8526 0.0444
1.4591 -2.0721 2.0661
-1.6959 5.4488 4.0750
Br Ba W
1 1 1
Cartesian
-1.5508 -0.5556 3.1252
-2.9120 1.4961 6.1441
-1.3985 2.1078 3.1016
```

Results
Total magnetic moment: 0.7 Bohr magnetons per cell
ΔE_f (raw): 942 meV per atom
ΔE to the lowest computed polymorph: 0.00 kcal/mol of atoms

***

4.
A plane-wave DFT calculation with SCAN was carried out for BaY2Br at its PBEsol-relaxed geometry.

The structure in POSCAR format:
```
BaY2Br
1.0
3.6969 0.0000 0.0000
1.8484 3.2016 0.0000
1.8484 1.0672 10.5372
Y Ba Br
2 1 1
Cartesian
1.8484 1.0672 2.1753
5.5453 3.2016 8.3619
3.6969 2.1344 5.2686
0.0000 0.0000 0.0000
```

Results
Total magnetic moment: 0.0 Bohr magnetons per cell
ΔE_f (raw): -437 meV per atom
ΔE to the lowest computed polymorph: 0.00 kcal/mol of atoms

***

5.
A plane-wave DFT calculation with SCAN was carried out for Ba2YBr7 at its PBEsol-relaxed geometry.

The structure in POSCAR format:
```
Ba2YBr7
1.0
8.4658 0.0000 0.0000
4.2329 8.6121 0.0872
4.2329 1.7065 8.5470
Ba Y Br
4 2 14
Cartesian
4.1270 1.3054 2.5162
8.5717 6.4647 6.8333
8.3599 3.8539 1.8009
12.8046 9.0132 6.1180
12.3103 6.8857 2.2022
4.6212 3.4329 6.4320
3.1577 4.2368 1.3907
9.5410 9.3961 5.7078
1.3431 1.1083 0.5304
6.1523 7.6763 3.8258
9.3216 6.8857 2.2022
11.3556 6.2676 4.8475
6.1523 6.0951 0.5785
10.7792 4.2236 8.0557
5.5760 4.0511 3.7867
7.6100 3.4329 6.4320
10.7792 2.6423 4.8083
15.5885 9.2104 8.1038
7.3906 0.9226 2.9264
13.7739 6.0819 7.2434
```

Results
Total magnetic moment: 0.0 Bohr magnetons per cell
ΔE_f (raw): -2247 meV per atom

***

6.
A plane-wave DFT calculation with SCAN was carried out for BaY2Br at its PBEsol-relaxed geometry.

The structure in POSCAR format:
```
BaY2Br
1.0
-1.1159 3.3139 1.0225
-4.8021 -0.6660 -3.0825
-2.8965 -2.5367 5.0603
Y Ba Br
2 1 1
Cartesian
0.0000 0.0000 0.0000
-2.9590 1.3239 -1.0300
-2.0062 0.3886 3.0414
-3.8493 -1.6013 0.9889
```

Results
Total magnetic moment: 1.0 Bohr magnetons per cell
ΔE_f (raw): -286 meV per atom
ΔE to the lowest computed polymorph: 3.48 kcal/mol of atoms

***

7.
A plane-wave DFT calculation with SCAN was carried out for Ba2YBr at its PBEsol-relaxed geometry.

The structure in POSCAR format:
```
Ba2YBr
1.0
-1.6164 -1.8505 -2.9666
2.0790 -5.3777 2.2218
-5.3132 -0.6668 3.3578
Y Ba Br
1 2 1
Cartesian
-0.4869 -3.4973 0.5823
-1.9391 -1.6773 -2.2454
-3.9186 -4.7544 0.7508
-3.5873 -1.0751 0.7544
```

Results
Total magnetic moment: 0.4 Bohr magnetons per cell
ΔE_f (raw): -429 meV per atom
ΔE to the lowest computed polymorph: 0.00 kcal/mol of atoms

***

8.
A plane-wave DFT calculation with SCAN was carried out for Ba2YBr at its PBEsol-relaxed geometry.

The structure in POSCAR format:
```
Ba2YBr
1.0
-2.6375 1.7443 2.2589
-3.5451 -4.4069 -0.7365
2.7596 -3.1673 5.6680
Y Ba Br
1 2 1
Cartesian
-0.7593 -4.0079 5.5509
2.5348 -2.9093 5.2062
-2.1224 -2.4434 2.7513
1.0633 -1.2203 2.1838
```

Results
Total magnetic moment: 0.0 Bohr magnetons per cell
ΔE_f (raw): -395 meV per atom
ΔE to the lowest computed polymorph: 0.77 kcal/mol of atoms